(1)
{
  "formula": "Hf6Co2Ir",
  "functional": "PBE-GGA",
  "state": "optimized geometry",
  "cell": [[-6.614, 0.052, 3.697], [1.626, -6.917, -2.634], [5.799, 1.814, 4.528]],
  "species": ["Hf", "Hf", "Ir", "Co", "Hf", "Hf", "Co", "Hf", "Hf", "Hf", "Hf", "Hf", "Hf", "Co", "Co", "Ir", "Hf", "Hf"],
  "frac_coords": [[0.700, 0.330, 0.030], [0.806, 0.570, 0.764], [0.000, 0.000, 0.000], [0.655, 0.655, 0.000], [0.521, 0.815, 0.706], [0.806, 0.042, 0.236], [0.500, 0.866, 0.366], [0.890, 0.185, 0.706], [0.110, 0.815, 0.294], [0.300, 0.670, 0.970], [0.479, 0.185, 0.294], [0.194, 0.958, 0.764], [0.300, 0.330, 0.631], [0.500, 0.134, 0.634], [0.345, 0.345, 0.000], [0.000, 0.500, 0.500], [0.700, 0.670, 0.369], [0.194, 0.430, 0.236]],
  "space_group": "Immm",
  "polymorph_energy_mev_per_atom": 0
}


(2)
{
  "formula": "LiHfCoIr",
  "functional": "PBE-GGA",
  "state": "optimized geometry",
  "cell": [[4.341, 0.000, 0.000], [2.171, 3.760, 0.000], [2.171, 1.253, 3.545]],
  "species": ["Hf", "Ir", "Co", "Li"],
  "frac_coords": [[0.250, 0.250, 0.250], [0.000, 0.000, 0.000], [0.500, 0.500, 0.500], [0.750, 0.750, 0.750]],
  "space_group": "F-43m"
}


(3)
{
  "formula": "LuHfCoIr",
  "functional": "PBE-GGA",
  "state": "optimized geometry",
  "cell": [[-3.826, -2.336, 1.165], [-0.644, -1.352, 4.382], [-3.253, 2.031, 2.596]],
  "species": ["Ir", "Lu", "Co", "Hf"],
  "frac_coords": [[0.000, 0.000, 0.000], [0.750, 0.750, 0.750], [0.500, 0.500, 0.500], [0.250, 0.250, 0.250]],
  "space_group": "F-43m"
}


| no. | ΔE_f (meV/atom) | total moment (μB per formula unit) |
| --- | --- | --- |
| 1 | -446 | 0.00 |
| 2 | -397 | 0.00 |
| 3 | -659 | 1.05 |